This record from Alexandria describes a relaxed CrAgPO4 crystal. The functional is PBE with a Hubbard U.

**Magnetic moment**: 4.00 μB/f.u.
**Uncorrected energy**: -6.66 eV per atom

a b c (Å): 5.3895 5.6826 6.8087
angles (deg): 90.00 105.74 90.00
Atoms (fractional coordinates):
Cr1 0.2395 0.2500 0.0414
Cr2 0.7605 0.7500 0.9586
Ag1 0.3567 0.7500 0.3661
Ag2 0.6433 0.2500 0.6338
P1 0.2287 0.7500 0.8347
P2 0.7713 0.2500 0.1653
O1 0.0526 0.5313 0.8111
O2 0.0526 0.9687 0.8111
O3 0.4218 0.7500 0.6992
O4 0.4284 0.7500 0.0547
O5 0.5716 0.2500 0.9453
O6 0.5782 0.2500 0.3008
O7 0.9474 0.0313 0.1889
O8 0.9474 0.4687 0.1889